(1)
Compound: AgAuBr2
Source: Alexandria
Functional: PBE-GGA
Structure: optimized geometry

```
AgAuBr2
1.0
4.128 0.000 0.000
0.000 3.919 0.000
-0.366 0.000 6.869
Ag Au Br
1 1 2
Direct
0.000 0.000 0.000
0.500 0.000 0.500
0.275 0.500 0.249
0.725 0.500 0.751
```

=====

(2)
Compound: AgAuBr
Source: Alexandria
Functional: PBE-GGA
Structure: optimized geometry

```
AgAuBr
1.0
4.818 0.000 0.000
-2.409 4.172 0.000
0.000 0.000 3.244
Ag Au Br
1 1 1
Direct
0.000 0.000 0.000
0.333 0.667 0.455
0.667 0.333 0.466
```

=====

(3)
Compound: Ag3Au5Br12
Source: Alexandria
Functional: PBE-GGA
Structure: optimized geometry

```
Ag3Au5Br12
1.0
-8.627 8.627 8.627
8.627 -8.627 8.627
8.627 8.627 -8.627
Ag Au Br
12 20 48
Direct
0.125 0.250 0.375
0.125 0.375 0.750
0.250 0.375 0.125
0.250 0.875 0.625
0.375 0.125 0.250
0.375 0.750 0.125
0.625 0.250 0.875
0.625 0.875 0.750
0.750 0.125 0.375
0.750 0.625 0.875
0.875 0.625 0.250
0.875 0.750 0.625
0.000 0.000 0.000
0.000 0.000 0.500
0.000 0.500 0.000
0.000 0.500 0.500
0.125 0.750 0.875
0.125 0.875 0.250
0.250 0.125 0.875
0.250 0.625 0.375
0.375 0.250 0.625
0.375 0.625 0.750
0.500 0.000 0.000
0.500 0.000 0.500
0.500 0.500 0.000
0.500 0.500 0.500
0.625 0.375 0.250
0.625 0.750 0.375
0.750 0.375 0.625
0.750 0.875 0.125
0.875 0.125 0.750
0.875 0.250 0.125
0.009 0.169 0.150
0.009 0.340 0.859
0.019 0.669 0.660
0.019 0.850 0.359
0.141 0.650 0.481
0.141 0.991 0.660
0.150 0.009 0.169
0.150 0.641 0.981
0.160 0.169 0.519
0.160 0.491 0.641
0.169 0.150 0.009
0.169 0.519 0.160
0.331 0.340 0.981
0.331 0.491 0.350
0.340 0.859 0.009
0.340 0.981 0.331
0.350 0.331 0.491
0.350 0.519 0.859
0.359 0.019 0.850
0.359 0.840 0.509
0.481 0.141 0.650
0.481 0.840 0.831
0.491 0.350 0.331
0.491 0.641 0.160
0.509 0.359 0.840
0.509 0.650 0.669
0.519 0.160 0.169
0.519 0.859 0.350
0.641 0.160 0.491
0.641 0.981 0.150
0.650 0.481 0.141
0.650 0.669 0.509
0.660 0.019 0.669
0.660 0.141 0.991
0.669 0.509 0.650
0.669 0.660 0.019
0.831 0.481 0.840
0.831 0.850 0.991
0.840 0.509 0.359
0.840 0.831 0.481
0.850 0.359 0.019
0.850 0.991 0.831
0.859 0.009 0.340
0.859 0.350 0.519
0.981 0.150 0.641
0.981 0.331 0.340
0.991 0.660 0.141
0.991 0.831 0.850
```

=====

(4)
Compound: AgAuBr2
Source: Alexandria
Functional: PBE-GGA
Structure: optimized geometry

```
AgAuBr2
1.0
4.333 0.000 0.000
-2.166 3.752 0.000
0.000 0.000 23.374
Ag Au Br
3 3 6
Direct
0.000 0.000 0.000
0.333 0.667 0.667
0.667 0.333 0.333
0.000 0.000 0.500
0.333 0.667 0.167
0.667 0.333 0.833
0.000 0.000 0.396
0.000 0.000 0.604
0.333 0.667 0.063
0.333 0.667 0.271
0.667 0.333 0.729
0.667 0.333 0.937
```

=====

Number 1: density of states at the Fermi level 0.8 states/eV/f.u., DFT total energy -9.4 eV/cell. Number 2: density of states at the Fermi level 0.7 states/eV/f.u., DFT total energy -7.0 eV/cell. Number 3: density of states at the Fermi level 8.7 states/eV/f.u., DFT total energy -185.6 eV/cell. Number 4: density of states at the Fermi level 0.0 states/eV/f.u., DFT total energy -30.6 eV/cell.